A plane-wave DFT calculation with GGA-PBE was carried out for a geometry-optimized LaRe2Ni structure.

The structure in POSCAR format:
```
LaRe2Ni
1.0
-2.383 2.383 8.380
2.383 -2.383 8.380
2.383 2.383 -8.380
La Re Ni
2 4 2
Cartesian
2.383 1.191 2.095
0.000 1.191 6.285
0.000 0.000 0.000
1.191 1.191 -4.190
1.191 -1.191 4.190
0.000 2.383 0.000
2.383 -1.191 6.285
0.000 3.574 2.095
```

## Properties
Polymorph energy (0 for the lowest one): 0.6215 eV/atom
Symmetry: I4_1/amd (141)
DFT formation energy: 0.71 eV per atom

=====

A plane-wave DFT calculation with GGA-PBE was carried out for a geometry-optimized Hg2Te structure.

The structure in POSCAR format:
```
Hg2Te
1.0
-1.545 1.545 9.691
1.545 -1.545 9.691
1.545 1.545 -9.691
Hg Te
2 1
Cartesian
0.000 0.000 3.314
0.000 0.000 16.067
0.000 0.000 9.691
```

## Properties
Polymorph energy (0 for the lowest one): 0.0695 eV/atom
ΔE_f (raw): 0.04 eV/atom
Symmetry: I4/mmm (139)